Record 1
The following is a GGA-PBE calculation of crystalline AcAuO2 at its relaxed geometry, from Alexandria.

Properties
Size of the total moment: 0.0 μB per cell
Density of states at the Fermi level: 0.00 states/eV/f.u.
Formation energy without anion corrections: -2.16 eV/atom

abc: 4.0667 4.0667 18.0565
angles: 90.00 90.00 120.00
Space group R-3m (No. 166, hexagonal axes)
Asymmetric unit:
1 Ac 0.0000 0.0000 0.0000
2 Au 0.0000 0.0000 0.5000
3 O 0.0000 0.0000 0.3875

***

Record 2
The following is a GGA-PBE calculation of crystalline Ac3AuO6 at its relaxed geometry, from Alexandria.

Properties
Size of the total moment: 0.0 μB per cell
Density of states at the Fermi level: 5.27 states/eV/f.u.
Formation energy without anion corrections: -2.46 eV/atom

abc: 10.0468 12.0505 5.9268
angles: 90.00 90.00 90.00
Space group Cmc2_1 (No. 36)
Asymmetric unit:
1 Ac 0.0000 0.1078 0.0000
2 Ac 0.2094 0.3817 0.9551
3 Au 0.0000 0.3710 0.4566
4 O 0.0000 0.2821 0.7482
5 O 0.0000 0.4717 0.1584
6 O 0.1472 0.2501 0.2580
7 O 0.1542 0.0112 0.7225

***

Record 3
The following is a GGA-PBE calculation of crystalline Ac2Au2O5 at its relaxed geometry, from Alexandria.

Properties
Size of the total moment: 0.0 μB per cell
Density of states at the Fermi level: 0.59 states/eV/f.u.
Formation energy without anion corrections: -1.86 eV/atom

abc: 13.9244 4.5336 5.2459
angles: 90.00 110.58 90.00
Space group C2/m (No. 12)
Asymmetric unit:
1 Ac 0.1197 0.0000 0.3261
2 Au 0.0972 0.5000 0.7815
3 O 0.0000 0.5000 0.0000
4 O 0.0876 0.0000 0.7910
5 O 0.1892 0.5000 0.5496